Entry 1:
YTmAlPd: optimized geometry, PBE-GGA.

Cell and atoms, written as POSCAR:
```
YTmAlPd
1.0
-0.752 3.304 -1.655
1.530 -1.572 -3.834
-4.730 -3.463 -0.467
Y Tm Al Pd
1 1 1 1
Direct
0.149 0.000 0.298
0.854 0.500 0.709
0.570 0.500 0.140
0.427 0.000 0.853
```

DOS(E_F): 3.3 states/eV/cell
energy above the lowest structure with this stoichiometry: 0.0 meV/atom
magnetic moment: 0.0 Bohr magnetons per cell
V: 93 Å³/cell
formation enthalpy at 0 K: -0.6428 eV per atom


Entry 2:
YTm2AlPd4: optimized geometry, PBE-GGA.

Cell and atoms, written as POSCAR:
```
YTm2AlPd4
1.0
4.781 0.000 0.000
2.390 4.140 0.000
2.390 1.380 7.921
Y Tm Al Pd
1 2 1 4
Direct
0.000 0.000 0.000
0.755 0.755 0.734
0.245 0.245 0.266
0.500 0.500 0.500
0.388 0.388 0.835
0.873 0.873 0.382
0.127 0.127 0.618
0.612 0.612 0.165
```

DOS(E_F): 6.0 states/eV/cell
magnetic moment: 0.0 Bohr magnetons per cell
V: 157 Å³/cell
formation enthalpy at 0 K: -0.8754 eV per atom


Entry 3:
TmAl3ZnPd: optimized geometry, PBE-GGA.

Cell and atoms, written as POSCAR:
```
TmAl3ZnPd
1.0
-4.407 -2.514 -2.199
3.332 -5.683 -0.179
-3.728 1.452 5.809
Tm Al Zn Pd
2 6 2 2
Direct
0.750 0.293 0.586
0.250 0.707 0.414
0.250 0.145 0.290
0.000 0.300 0.000
0.500 0.700 0.000
0.500 0.300 0.000
0.000 0.700 0.000
0.750 0.855 0.710
0.250 0.926 0.852
0.750 0.074 0.148
0.250 0.354 0.707
0.750 0.646 0.293
```

DOS(E_F): 6.0 states/eV/cell
magnetic moment: 0.0 Bohr magnetons per cell
V: 227 Å³/cell
formation enthalpy at 0 K: -0.2869 eV per atom